IrWN2O | PBE+U | optimized geometry

a = 3.8007 Å, b = 3.8007 Å, c = 5.4215 Å
α = 90.00°, β = 90.00°, γ = 90.00°
With the nearest neighbours (Å) after each atom.
Space group P4/mmm (No. 123)
Inequivalent atoms, fractional coordinates:
Ir (0.0000, 0.0000, 0.0000) [1 per cell]  4 O 2.69, 2 W 2.71
W (0.0000, 0.0000, 0.5000) [1 per cell]  4 N 1.90
N (0.0000, 0.5000, 0.5000) [2 per cell]  2 W 1.90
O (0.5000, 0.5000, 0.0000) [1 per cell]  4 Ir 2.69

Properties
- total energy (hartree per atom) = -0.2232